No. 1
First-principles (PBE) data for crystalline LaPu2Tl3Te6 at its relaxed geometry, as listed in Alexandria.

abc: 7.900 7.900 8.547
angles: 98.87 98.87 119.98
Sites, in units of the cell vectors:
La1 0.000 0.000 0.000
Pu1 0.333 0.667 0.000
Pu2 0.667 0.333 0.000
Tl1 0.165 0.835 0.500
Tl2 0.835 0.165 0.500
Tl3 0.500 0.500 0.500
Te1 0.927 0.585 0.782
Te2 0.729 0.729 0.215
Te3 0.073 0.415 0.218
Te4 0.585 0.927 0.782
Te5 0.271 0.271 0.785
Te6 0.415 0.073 0.218

Computed properties:
space group = C2/m, No. 12
formation energy (no corrections) = -87 kJ/mol of atoms
magnetization = 10.0 μB/f.u.

No. 2
First-principles (PBE) data for crystalline Tb4YSi4 at its relaxed geometry, as listed in Alexandria.

abc: 5.814 8.972 8.972
angles: 90.00 90.00 90.00
Sites, in units of the cell vectors:
Tb1 0.373 0.326 0.909
Tb2 0.873 0.591 0.826
Tb3 0.373 0.674 0.091
Tb4 0.127 0.174 0.591
Tb5 0.627 0.909 0.674
Tb6 0.127 0.826 0.409
Tb7 0.873 0.409 0.174
Tb8 0.627 0.091 0.326
Y1 0.000 0.000 0.000
Y2 0.500 0.500 0.500
Si1 0.631 0.770 0.363
Si2 0.631 0.230 0.637
Si3 0.131 0.863 0.730
Si4 0.869 0.270 0.863
Si5 0.869 0.730 0.137
Si6 0.369 0.363 0.230
Si7 0.369 0.637 0.770
Si8 0.131 0.137 0.270

Computed properties:
space group = P4_2/n, No. 86
formation energy (no corrections) = -47 kJ/mol of atoms
magnetization = 0.0 μB/f.u.

No. 3
First-principles (PBE) data for crystalline NaZn2F5 at its relaxed geometry, as listed in Alexandria.

abc: 3.877 5.771 10.720
angles: 90.00 90.00 109.63
Sites, in units of the cell vectors:
Na1 0.804 0.608 0.750
Na2 0.196 0.392 0.250
Zn1 0.872 0.744 0.434
Zn2 0.872 0.744 0.066
Zn3 0.128 0.256 0.566
Zn4 0.128 0.256 0.934
F1 0.949 0.897 0.892
F2 0.949 0.897 0.608
F3 0.313 0.626 0.442
F4 0.313 0.626 0.058
F5 0.808 0.616 0.250
F6 0.192 0.384 0.750
F7 0.687 0.374 0.558
F8 0.687 0.374 0.942
F9 0.051 0.103 0.108
F10 0.051 0.103 0.392

Computed properties:
space group = Cmcm, No. 63
formation energy (no corrections) = -233 kJ/mol of atoms
magnetization = 0.0 μB/f.u.

No. 4
First-principles (PBE) data for crystalline K4Tl3Bi2 at its relaxed geometry, as listed in Alexandria.

abc: 5.082 7.373 10.434
angles: 102.30 104.09 90.00
Sites, in units of the cell vectors:
K1 0.217 0.712 0.435
K2 0.783 0.288 0.565
K3 0.564 0.852 0.127
K4 0.436 0.148 0.873
Tl1 0.131 0.168 0.262
Tl2 0.869 0.832 0.738
Tl3 0.000 0.500 0.000
Bi1 0.386 0.590 0.771
Bi2 0.614 0.410 0.229

Computed properties:
calculated formation energy = -0.2114 eV/atom
space group = C2/m, No. 12
magnetization = 0.0 μB/f.u.

No. 5
First-principles (PBE) data for crystalline Pr3YTm4 at its relaxed geometry, as listed in Alexandria.

abc: 7.160 7.158 10.152
angles: 90.00 90.00 90.00
Sites, in units of the cell vectors:
Pr1 0.000 0.311 0.000
Pr2 0.252 0.061 0.750
Pr3 0.748 0.561 0.750
Pr4 0.000 0.811 0.500
Pr5 0.748 0.561 0.250
Pr6 0.252 0.061 0.250
Y1 0.500 0.811 0.000
Y2 0.500 0.311 0.500
Tm1 0.000 0.811 0.000
Tm2 0.500 0.311 0.000
Tm3 0.750 0.061 0.750
Tm4 0.250 0.561 0.750
Tm5 0.500 0.811 0.500
Tm6 0.000 0.311 0.500
Tm7 0.250 0.561 0.250
Tm8 0.750 0.061 0.250

Computed properties:
calculated formation energy = 0.0243 eV/atom
space group = Pmna, No. 53
magnetization = 0.0 μB/f.u.

No. 6
First-principles (PBE) data for crystalline Pr2Cd16Hg at its relaxed geometry, as listed in Alexandria.

abc: 7.691 7.691 7.691
angles: 82.44 82.44 82.44
Sites, in units of the cell vectors:
Pr1 0.670 0.670 0.670
Pr2 0.331 0.331 0.331
Cd1 0.701 0.000 0.301
Cd2 0.000 0.301 0.701
Cd3 0.301 0.701 0.000
Cd4 0.000 0.701 0.301
Cd5 0.701 0.301 0.000
Cd6 0.301 0.000 0.701
Cd7 0.359 0.840 0.359
Cd8 0.840 0.359 0.359
Cd9 0.359 0.359 0.840
Cd10 0.640 0.166 0.640
Cd11 0.166 0.640 0.640
Cd12 0.640 0.640 0.166
Cd13 0.003 0.497 0.003
Cd14 0.497 0.003 0.003
Cd15 0.003 0.003 0.497
Cd16 0.096 0.096 0.096
Hg1 0.892 0.892 0.892

Computed properties:
calculated formation energy = -0.1629 eV/atom
space group = R3m, No. 160
magnetization = 0.0 μB/f.u.